# 1
! AlGa2O4, relaxed, DFT PBE; values from VASP
&SYSTEM
  ibrav = 0, nat = 7, ntyp = 3
/
ATOMIC_SPECIES
O 16.00 O.upf
Ga 69.72 Ga.upf
Al 26.98 Al.upf
ATOMIC_POSITIONS angstrom
O 0.2454 -1.0386 4.8354
Ga -0.2735 -0.1709 3.1558
O 1.0997 -3.8576 3.2379
Ga 2.6049 -0.5520 1.7241
O 3.4426 -1.4619 3.2451
Al 0.0000 0.0000 0.0000
O 0.6625 -0.7262 1.5252
CELL_PARAMETERS angstrom
-2.4848 -2.4381 2.9736
3.2721 -3.2003 0.1102
1.9378 2.0962 3.3380
! crystal system	tetragonal
! M_tot	0.000	μB per formula unit
! E_tot	-0.4512	Ry/atom

# 2
! AlGaOs2O, relaxed, DFT PBE; values from VASP
&SYSTEM
  ibrav = 0, nat = 5, ntyp = 4
/
ATOMIC_SPECIES
Ga 69.72 Ga.upf
Os 190.23 Os.upf
O 16.00 O.upf
Al 26.98 Al.upf
ATOMIC_POSITIONS angstrom
Ga 1.4014 -3.0338 1.7783
Os -0.4743 -0.8270 2.2029
O -0.4047 -1.4914 -0.6470
Al 0.0000 0.0000 0.0000
Os 2.2804 -0.7154 0.2224
CELL_PARAMETERS angstrom
-0.9486 -1.6540 4.4058
-0.8095 -2.9828 -1.2941
4.5609 -1.4308 0.4449
! crystal system	tetragonal
! M_tot	2.692	μB per formula unit
! E_tot	-0.4473	Ry/atom

# 3
! AlGaP2O, relaxed, DFT PBE; values from VASP
&SYSTEM
  ibrav = 0, nat = 5, ntyp = 4
/
ATOMIC_SPECIES
P 30.97 P.upf
O 16.00 O.upf
Ga 69.72 Ga.upf
Al 26.98 Al.upf
ATOMIC_POSITIONS angstrom
P 0.0000 2.4547 0.0000
O 0.0000 0.0000 1.7800
P 2.4547 0.0000 0.0000
Ga 0.0000 0.0000 0.0000
Al 2.4547 2.4547 1.7800
CELL_PARAMETERS angstrom
4.9094 0.0000 0.0000
0.0000 4.9094 0.0000
0.0000 0.0000 3.5599
! crystal system	tetragonal
! M_tot	0.000	μB per formula unit
! E_tot	-0.3121	Ry/atom

# 4
! AlGaPO2, relaxed, DFT PBE; values from VASP
&SYSTEM
  ibrav = 0, nat = 5, ntyp = 4
/
ATOMIC_SPECIES
P 30.97 P.upf
Al 26.98 Al.upf
O 16.00 O.upf
Ga 69.72 Ga.upf
ATOMIC_POSITIONS angstrom
P 0.0000 0.0000 2.7394
Al 0.0000 0.0000 0.0000
O 0.0000 1.7879 0.0000
Ga 1.7879 1.7879 2.7394
O 1.7879 0.0000 0.0000
CELL_PARAMETERS angstrom
3.5758 0.0000 0.0000
0.0000 3.5758 0.0000
0.0000 0.0000 5.4787
! crystal system	tetragonal
! M_tot	0.000	μB per formula unit
! E_tot	-0.3958	Ry/atom

# 5
! AlGaP2O, relaxed, DFT PBE; values from VASP
&SYSTEM
  ibrav = 0, nat = 5, ntyp = 4
/
ATOMIC_SPECIES
O 16.00 O.upf
P 30.97 P.upf
Ga 69.72 Ga.upf
Al 26.98 Al.upf
ATOMIC_POSITIONS angstrom
O 0.0000 0.0000 1.6913
P 2.4868 0.0000 0.0000
P 0.0000 2.4868 0.0000
Ga 2.4868 2.4868 1.6913
Al 0.0000 0.0000 0.0000
CELL_PARAMETERS angstrom
4.9737 0.0000 0.0000
0.0000 4.9737 0.0000
0.0000 0.0000 3.3827
! crystal system	tetragonal
! M_tot	0.002	μB per formula unit
! E_tot	-0.3469	Ry/atom

# 6
! AlGaPO2, relaxed, DFT PBE; values from VASP
&SYSTEM
  ibrav = 0, nat = 5, ntyp = 4
/
ATOMIC_SPECIES
O 16.00 O.upf
Ga 69.72 Ga.upf
Al 26.98 Al.upf
P 30.97 P.upf
ATOMIC_POSITIONS angstrom
O -0.0656 -1.7956 0.4491
Ga 0.0000 0.0000 0.0000
Al -2.7676 -2.1379 -1.3139
P -2.6615 0.1056 0.0336
O -0.0405 -0.4479 -1.7967
CELL_PARAMETERS angstrom
-0.0809 -0.8957 -3.5933
-0.1311 -3.5912 0.8982
-5.3230 0.2112 0.0673
! crystal system	tetragonal
! M_tot	1.032	μB per formula unit
! E_tot	-0.3522	Ry/atom

# 7
! PaAl2GaO8, relaxed, DFT PBE; values from VASP
&SYSTEM
  ibrav = 0, nat = 12, ntyp = 4
/
ATOMIC_SPECIES
Ga 69.72 Ga.upf
O 16.00 O.upf
Pa 231.04 Pa.upf
Al 26.98 Al.upf
ATOMIC_POSITIONS angstrom
Ga 0.0000 0.0000 0.0000
O 0.0000 1.5016 4.6424
O 0.0000 3.2301 2.5140
O 4.2942 0.7508 1.3219
Pa 0.0000 0.0000 2.9821
Al 0.0000 3.2301 4.3060
O 2.7973 1.6150 3.4503
Al 2.7973 1.6150 1.6583
O 1.4969 4.0943 4.6424
O -1.4969 4.0943 4.6424
O 2.7973 3.3435 1.3219
O 1.3004 0.7508 1.3219
CELL_PARAMETERS angstrom
5.5947 0.0000 0.0000
-2.7973 4.8451 0.0000
0.0000 0.0000 5.9643
! crystal system	trigonal
! M_tot	2.002	μB per formula unit
! E_tot	-0.5282	Ry/atom

# 8
! PaAlGa2O8, relaxed, DFT PBE; values from VASP
&SYSTEM
  ibrav = 0, nat = 12, ntyp = 4
/
ATOMIC_SPECIES
Ga 69.72 Ga.upf
O 16.00 O.upf
Pa 231.04 Pa.upf
Al 26.98 Al.upf
ATOMIC_POSITIONS angstrom
Ga 2.5073 -1.0869 -2.0488
Ga -0.9735 -1.6250 -3.1762
O -2.7858 -1.6108 -3.1921
O -0.0141 -3.1455 -3.4050
O -0.3681 -3.9537 -0.5194
Pa 0.0000 0.0000 0.0000
O 1.5381 -1.9053 -0.6343
O 2.5202 -1.9574 -3.7376
O -3.2019 -2.3517 -0.5046
O -1.1072 -0.7956 -1.5703
Al 1.2177 -3.4591 0.4783
O 0.0130 -0.9480 -4.5376
CELL_PARAMETERS angstrom
0.3161 0.7472 -5.7033
4.6985 -2.9210 1.6057
-4.7705 -2.9103 1.3997
! crystal system	tetragonal
! M_tot	1.349	μB per formula unit
! E_tot	-0.5125	Ry/atom

Calculated N(E_F) (states/eV/f.u.), listed in the same order as above: 2.15; 5.15; 3.20; 3.99; 4.45; 3.92; 7.76; 8.06
Calculated energy relative to the elements, uncorrected (eV/atom), listed in the same order as above: -1.907; 0.752; 0.263; -0.966; -0.211; -0.373; -2.214; -2.060